# SnHgS2 GGA-PBE relaxed
data_SnHgS2
_chemical_formula_sum 'Sn1 Hg1 S2'
_cell_length_a 3.689
_cell_length_b 3.689
_cell_length_c 9.643
_cell_angle_alpha 89.91
_cell_angle_beta 89.87
_cell_angle_gamma 60.00
_symmetry_space_group_name_H-M 'P 1'
_symmetry_Int_Tables_number 1
_symmetry_space_group_name_Hall 'P 1'
loop_
_atom_site_label
_atom_site_type_symbol
_atom_site_fract_x
_atom_site_fract_y
_atom_site_fract_z
Sn1 Sn 0.000 0.000 0.000
Hg1 Hg 0.006 0.000 0.500
S1 S 0.332 0.333 0.154
S2 S 0.667 0.667 0.846
# **Raw total energy**: -3.41 eV per atom
# **E_form (uncorrected)**: -0.27 eV per atom
# **Calculated density**: 5.60 g cm⁻³
# **Spin magnetization**: 0.000 Bohr magnetons per cell

---

# SnHgS2 GGA-PBE relaxed
data_SnHgS2
_chemical_formula_sum 'Sn4 Hg4 S8'
_cell_length_a 9.661
_cell_length_b 3.581
_cell_length_c 15.822
_cell_angle_alpha 90.00
_cell_angle_beta 90.00
_cell_angle_gamma 90.00
_symmetry_space_group_name_H-M 'P n m a'
_symmetry_Int_Tables_number 62
_symmetry_space_group_name_Hall '-P 2ac 2n'
loop_
_atom_site_label
_atom_site_type_symbol
_atom_site_fract_x
_atom_site_fract_y
_atom_site_fract_z
Sn1 Sn 0.005 0.250 0.099
Hg1 Hg 0.056 0.250 0.586
S1 S 0.076 0.750 0.196
S2 S 0.162 0.250 0.971
# **Raw total energy**: -3.31 eV per atom
# **E_form (uncorrected)**: -0.17 eV per atom
# **Calculated density**: 4.65 g cm⁻³
# **Spin magnetization**: 0.000 Bohr magnetons per cell

---

# SnHg3S GGA-PBE relaxed
data_SnHg3S
_chemical_formula_sum 'Sn1 Hg3 S1'
_cell_length_a 5.551
_cell_length_b 5.551
_cell_length_c 5.551
_cell_angle_alpha 90.00
_cell_angle_beta 90.00
_cell_angle_gamma 90.00
_symmetry_space_group_name_H-M 'P m -3 m'
_symmetry_Int_Tables_number 221
_symmetry_space_group_name_Hall '-P 4 2 3'
loop_
_atom_site_label
_atom_site_type_symbol
_atom_site_fract_x
_atom_site_fract_y
_atom_site_fract_z
Sn1 Sn 0.000 0.000 0.000
Hg1 Hg 0.000 0.000 0.500
S1 S 0.500 0.500 0.500
# **Raw total energy**: -1.36 eV per atom
# **E_form (uncorrected)**: 0.45 eV per atom
# **Polymorph energy (0 for the lowest one)**: 26 meV/atom
# **Calculated density**: 7.31 g cm⁻³
# **Spin magnetization**: 0.914 Bohr magnetons per cell

---

# SnHgS2 GGA-PBE relaxed
data_SnHgS2
_chemical_formula_sum 'Sn1 Hg1 S2'
_cell_length_a 3.867
_cell_length_b 6.064
_cell_length_c 6.071
_cell_angle_alpha 64.83
_cell_angle_beta 71.86
_cell_angle_gamma 71.58
_symmetry_space_group_name_H-M 'P 1'
_symmetry_Int_Tables_number 1
_symmetry_space_group_name_Hall 'P 1'
loop_
_atom_site_label
_atom_site_type_symbol
_atom_site_fract_x
_atom_site_fract_y
_atom_site_fract_z
Sn1 Sn 0.000 0.000 0.000
Hg1 Hg 0.720 0.361 0.202
S1 S 0.044 0.584 0.336
S2 S 0.645 0.963 0.742
# **Raw total energy**: -3.39 eV per atom
# **E_form (uncorrected)**: -0.25 eV per atom
# **Calculated density**: 5.32 g cm⁻³
# **Spin magnetization**: 0.000 Bohr magnetons per cell